# CrO | Alexandria | PBE with a Hubbard U | relaxed
# * calculated volume: 12.09 A^3/atom
# * raw total energy: -123.9 eV per cell
data_CrO
_space_group_name_H-M_alt 'P 42/m'
_space_group_IT_number 84
_space_group_name_Hall '-P 4c'
_cell_length_a 5.7654
_cell_length_b 5.7654
_cell_length_c 5.8172
_cell_angle_alpha 90.00
_cell_angle_beta 90.00
_cell_angle_gamma 90.00
loop_
_atom_site_label
_atom_site_type_symbol
_atom_site_fract_x
_atom_site_fract_y
_atom_site_fract_z
Cr1 Cr 0.0000 0.0000 0.2500
Cr2 Cr 0.0000 0.5000 0.0000
Cr3 Cr 0.2469 0.4559 0.5000
O1 O 0.1887 0.6924 0.2370